[1]
Li3MnOF4 | GGA-PBEsol | optimized geometry

abc: 5.1636 5.1636 6.5398
angles: 125.99 125.99 41.57
Last column: nearest neighbours and their distance in Å.
Element x y z (fractional)
Li (0.0000, 0.0000, 0.0000)  4 F 1.91-1.93
Li (0.3569, 0.3569, 0.1344)  4 F 1.84-1.99, 1 O 2.00
Li (0.6138, 0.6138, 0.7568)  3 F 1.88-1.90, 1 O 2.04
Mn (0.8156, 0.8156, 0.4310)  2 O 1.86, 2 F 1.89-2.02
O (0.3514, 0.3514, 0.4352)  2 Mn 1.86, 2 Li 2.00-2.04
F (0.0997, 0.0997, 0.8198)  4 Li 1.90-1.99
F (0.5416, 0.5416, 0.1055)  3 Li 1.91, 1 Mn 2.11
F (0.7655, 0.7655, 0.6683)  2 Li 1.88-1.91, 1 Mn 1.89
F (0.8545, 0.8545, 0.1610)  2 Li 1.84, 1 Mn 2.02

As for the total energy: -51.65 eV per formula unit. The value obtained for the density of states at the Fermi level is 0.015 states/eV per atom. For the uncorrected formation energy, the calculation gives -2559 meV/atom. The space group is Cm (8).

[2]
LaPIr2 | GGA-PBEsol | optimized geometry

abc: 2.9297 2.9297 7.7027
angles: 90.00 90.00 90.00
Last column: nearest neighbours and their distance in Å.
Element x y z (fractional)
La (0.0000, 0.0000, 0.0000)  4 La 2.93, 8 Ir 3.20
P (0.0000, 0.0000, 0.5000)  8 Ir 2.51
Ir (0.5000, 0.5000, 0.3161)  4 P 2.51
Ir (0.5000, 0.5000, 0.6839)  4 P 2.51

As for the total energy: -31.91 eV per formula unit. The value obtained for the density of states at the Fermi level is 0.527 states/eV per atom. The space group is P4/mmm (123). The calculation puts the formation energy at -0.283 eV/atom.

[3]
SmMoI4O15 | GGA-PBEsol | optimized geometry

abc: 6.7317 13.9456 7.0129
angles: 90.00 114.61 90.00
Last column: nearest neighbours and their distance in Å.
Element x y z (fractional)
Sm (0.0846, 0.0000, 0.4322)  8 O 2.33-2.46
Sm (0.9154, 0.5000, 0.5678)  8 O 2.33-2.46
Mo (0.4021, 0.3296, 0.2168)  3 O 1.72-1.85
Mo (0.5979, 0.8296, 0.7832)  3 O 1.72-1.85
I (0.1529, 0.8713, 0.9602)  3 O 1.82-1.87
I (0.2276, 0.6008, 0.1366)  3 O 1.82-1.85
I (0.2402, 0.2475, 0.6988)  3 O 1.80-1.88
I (0.4713, 0.0903, 0.2386)  3 O 1.80-1.87
I (0.5287, 0.5903, 0.7614)  3 O 1.80-1.87
I (0.7598, 0.7475, 0.3012)  3 O 1.80-1.88
I (0.7724, 0.1008, 0.8634)  3 O 1.82-1.85
I (0.8471, 0.3713, 0.0398)  3 O 1.82-1.87
O (0.0174, 0.6024, 0.8696)  1 I 1.82
O (0.0408, 0.3426, 0.6081)  1 I 1.80
O (0.0600, 0.1468, 0.5866)  1 I 1.81
O (0.0964, 0.9725, 0.7780)  1 I 1.84
O (0.1948, 0.4182, 0.0580)  1 Mo 1.85
O (0.2306, 0.2343, 0.9615)  1 I 1.88
O (0.2396, 0.7311, 0.1858)  1 I 1.85
O (0.2511, 0.9381, 0.2048)  1 I 1.82
O (0.2520, 0.2850, 0.3500)  1 Mo 1.75
O (0.2857, 0.5182, 0.6505)  1 I 1.80
O (0.3970, 0.7110, 0.7015)  1 I 1.87, 1 Mo 2.06
O (0.3990, 0.9031, 0.6112)  1 Mo 1.72
O (0.4132, 0.0887, 0.4747)  1 I 1.85
O (0.4393, 0.8487, 0.9932)  1 I 1.87
O (0.4751, 0.5949, 0.0881)  1 I 1.84
O (0.5249, 0.0949, 0.9119)  1 I 1.84
O (0.5607, 0.3487, 0.0068)  1 I 1.87
O (0.5868, 0.5887, 0.5253)  1 I 1.85
O (0.6010, 0.4031, 0.3888)  1 Mo 1.72
O (0.6030, 0.2110, 0.2985)  1 I 1.87, 1 Mo 2.06
O (0.7143, 0.0182, 0.3495)  1 I 1.80
O (0.7480, 0.7850, 0.6500)  1 Mo 1.75
O (0.7489, 0.4381, 0.7952)  1 I 1.82
O (0.7604, 0.2311, 0.8142)  1 I 1.85
O (0.7694, 0.7343, 0.0385)  1 I 1.88
O (0.8052, 0.9182, 0.9420)  1 Mo 1.85
O (0.9036, 0.4725, 0.2220)  1 I 1.84
O (0.9400, 0.6468, 0.4134)  1 I 1.81
O (0.9592, 0.8426, 0.3919)  1 I 1.80
O (0.9826, 0.1024, 0.1304)  1 I 1.82

As for the total energy: -123.75 eV per formula unit. The value obtained for the density of states at the Fermi level is 0.622 states/eV per atom. For the uncorrected formation energy, the calculation gives -1004 meV/atom. The space group is P2_1 (4).

[4]
LaTl2Pb | GGA-PBEsol | optimized geometry

abc: 4.7528 4.7528 4.9184
angles: 90.00 90.00 90.00
Last column: nearest neighbours and their distance in Å.
Element x y z (fractional)
La (0.0000, 0.0000, 0.0000)  4 Pb 3.36, 8 Tl 3.42
Tl (0.0000, 0.5000, 0.5000)  4 Tl 3.36, 4 Pb 3.42, 4 La 3.42
Tl (0.5000, 0.0000, 0.5000)  4 Tl 3.36, 4 Pb 3.42, 4 La 3.42
Pb (0.5000, 0.5000, 0.0000)  4 La 3.36, 8 Tl 3.42

As for the total energy: -16.38 eV per formula unit. The value obtained for the density of states at the Fermi level is 0.533 states/eV per atom. The space group is P4/mmm (123). The calculation puts the formation energy at -0.444 eV/atom.

[5]
Na2SnPCO7 | GGA-PBEsol | optimized geometry

abc: 5.2973 6.7725 9.2078
angles: 90.00 90.90 90.00
Last column: nearest neighbours and their distance in Å.
Element x y z (fractional)
Na (0.2501, 0.0075, 0.2185)  5 O 2.27-2.48
Na (0.2501, 0.4925, 0.2185)  5 O 2.27-2.48
Na (0.7499, 0.5075, 0.7815)  5 O 2.27-2.48
Na (0.7499, 0.9925, 0.7815)  5 O 2.27-2.48
Sn (0.2044, 0.2500, 0.6255)  5 O 2.19-2.25
Sn (0.7956, 0.7500, 0.3745)  5 O 2.19-2.25
P (0.2791, 0.7500, 0.5885)  4 O 1.55-1.57
P (0.7209, 0.2500, 0.4115)  4 O 1.55-1.57
C (0.2581, 0.2500, 0.9135)  3 O 1.25-1.33
C (0.7419, 0.7500, 0.0865)  3 O 1.25-1.33
O (0.0380, 0.2500, 0.8450)  1 C 1.32
O (0.1581, 0.5674, 0.6619)  1 P 1.55
O (0.1581, 0.9326, 0.6619)  1 P 1.55
O (0.2113, 0.7500, 0.4221)  1 P 1.57
O (0.2821, 0.2500, 0.0489)  1 C 1.25
O (0.4302, 0.2500, 0.3922)  1 P 1.55
O (0.4540, 0.2500, 0.8259)  1 C 1.33
O (0.5460, 0.7500, 0.1741)  1 C 1.33
O (0.5698, 0.7500, 0.6078)  1 P 1.55
O (0.7179, 0.7500, 0.9511)  1 C 1.25
O (0.7887, 0.2500, 0.5779)  1 P 1.57
O (0.8419, 0.0674, 0.3381)  1 P 1.55
O (0.8419, 0.4326, 0.3381)  1 P 1.55
O (0.9620, 0.7500, 0.1550)  1 C 1.32

As for the total energy: -81.13 eV per formula unit. The value obtained for the density of states at the Fermi level is 0.206 states/eV per atom. For the uncorrected formation energy, the calculation gives -1824 meV/atom. The polymorph energy (0 for the lowest one) is 0 kJ/mol of formula units. The space group is P2_1/m (11).

[6]
FeReH2Pt | GGA-PBEsol | optimized geometry

abc: 3.5329 3.5329 4.6204
angles: 90.00 90.00 90.00
Last column: nearest neighbours and their distance in Å.
Element x y z (fractional)
Fe (0.0000, 0.0000, 0.0000)  4 H 1.77
Re (0.0000, 0.0000, 0.5000)  2 Fe 2.31, 4 Pt 2.50
H (0.0000, 0.5000, 0.0000)  2 Fe 1.77
H (0.5000, 0.0000, 0.0000)  2 Fe 1.77
Pt (0.5000, 0.5000, 0.5000)  4 Re 2.50

As for the total energy: -30.93 eV per formula unit. The value obtained for the density of states at the Fermi level is 1.121 states/eV per atom. The space group is P4/mmm (123).

[7]
SiSb2Mo | GGA-PBEsol | optimized geometry

abc: 3.0266 3.0266 9.3061
angles: 90.00 90.00 108.69
Last column: nearest neighbours and their distance in Å.
Element x y z (fractional)
Si (0.0000, 0.0000, 0.0000)  4 Si 3.03, 4 Sb 3.06
Sb (0.5000, 0.5000, 0.2690)  2 Mo 2.78, 4 Sb 3.03, 2 Si 3.06
Sb (0.5000, 0.5000, 0.7310)  2 Mo 2.78, 4 Sb 3.03, 2 Si 3.06
Mo (0.0000, 0.0000, 0.5000)  4 Sb 2.78, 4 Mo 3.03

As for the total energy: -24.26 eV per formula unit. The value obtained for the density of states at the Fermi level is 0.912 states/eV per atom. For the uncorrected formation energy, the calculation gives 593 meV/atom. The space group is Cmmm (65).

[8]
BeSnPCl2 | GGA-PBEsol | optimized geometry

abc: 4.2748 4.2748 4.9870
angles: 90.00 90.00 90.00
Last column: nearest neighbours and their distance in Å.
Element x y z (fractional)
Be (0.0000, 0.0000, 0.0000)  4 Cl 2.14
Sn (0.5000, 0.5000, 0.5000)  4 P 3.02, 8 Cl 3.28
P (0.0000, 0.0000, 0.5000)  2 Be 2.49
Cl (0.0000, 0.5000, 0.0000)  2 Be 2.14
Cl (0.5000, 0.0000, 0.0000)  2 Be 2.14

As for the total energy: -19.33 eV per formula unit. The value obtained for the density of states at the Fermi level is 0.390 states/eV per atom. For the uncorrected formation energy, the calculation gives -254 meV/atom. The space group is P4/mmm (123).